Record 1
An optimized crystal structure of TbNd8Tm5, computed with GGA-PBE.

POSCAR file:
```
TbNd8Tm5
1.0
8.5069 0.0000 0.0000
-1.1209 8.5668 0.0000
-3.9859 -3.9678 6.5630
Tb Nd Tm
1 8 5
direct
0.0000 0.0000 0.0000
0.0646 0.7856 0.2770
0.1123 0.3703 0.0055
0.4641 0.4107 0.8641
0.4827 0.2205 0.2806
0.6305 0.9055 0.9974
0.6925 0.7074 0.3945
0.8071 0.5411 0.7459
0.9439 0.1598 0.5131
0.2164 0.9554 0.7542
0.3027 0.7591 0.0524
0.3564 0.5899 0.5186
0.5906 0.0573 0.6504
0.8627 0.3662 0.2237
```

## Properties
The total energy is -0.3298 Ry per atom.

***

Record 2
An optimized crystal structure of Tb2NdTm7, computed with GGA-PBE.

POSCAR file:
```
Tb2NdTm7
1.0
4.3168 -8.1779 0.0000
4.3168 8.1779 0.0000
0.0000 0.0000 5.4467
Tb Nd Tm
2 1 7
direct
0.2021 0.7979 0.0000
0.7979 0.2021 0.0000
0.5000 0.5000 0.5000
0.0000 0.0000 0.0000
0.2101 0.4370 0.0000
0.2921 0.7079 0.5000
0.4370 0.2101 0.0000
0.5630 0.7899 0.0000
0.7079 0.2921 0.5000
0.7899 0.5630 0.0000
```

## Properties
As for the energy relative to the lowest polymorph listed for this composition: 0.3054 eV/atom.

***

Record 3
An optimized crystal structure of Tb7NdTm12, computed with GGA-PBE.

POSCAR file:
```
Tb7NdTm12
1.0
6.3621 3.6732 4.4931
-6.3621 3.6732 4.4931
0.0000 -7.3463 4.4931
Tb Nd Tm
7 1 12
direct
0.0000 0.0000 0.0000
0.1478 0.4849 0.4184
0.4184 0.1478 0.4849
0.4849 0.4184 0.1478
0.5151 0.5816 0.8522
0.5816 0.8522 0.5151
0.8522 0.5151 0.5816
0.5000 0.5000 0.5000
0.0219 0.3538 0.0858
0.0858 0.0219 0.3538
0.1789 0.3098 0.7515
0.2485 0.8211 0.6902
0.3098 0.7515 0.1789
0.3538 0.0858 0.0219
0.6462 0.9142 0.9781
0.6902 0.2485 0.8211
0.7515 0.1789 0.3098
0.8211 0.6902 0.2485
0.9142 0.9781 0.6462
0.9781 0.6462 0.9142
```

## Properties
As for the energy relative to the lowest polymorph listed for this composition: 0.0000 eV/atom.

***

Record 4
An optimized crystal structure of TbNdTm14, computed with GGA-PBE.

POSCAR file:
```
TbNdTm14
1.0
11.3161 0.0000 0.0000
0.0000 3.5265 6.0982
0.0000 -3.5265 6.0982
Tb Nd Tm
1 1 14
direct
0.0000 0.0000 0.0000
0.0000 0.4997 0.4997
0.0000 0.0001 0.5000
0.0000 0.5000 0.0001
0.2509 0.1672 0.1672
0.2522 0.6673 0.6673
0.2533 0.1661 0.6671
0.2533 0.6671 0.1661
0.5000 0.3335 0.3335
0.5000 0.3337 0.8342
0.5000 0.8342 0.3337
0.5000 0.8335 0.8335
0.7467 0.1661 0.6671
0.7467 0.6671 0.1661
0.7478 0.6673 0.6673
0.7491 0.1672 0.1672
```

## Properties
The total energy is -0.3299 Ry per atom.

***

Record 5
An optimized crystal structure of Tb9Nd2Tm, computed with GGA-PBE.

POSCAR file:
```
Tb9Nd2Tm
1.0
5.0556 0.0000 0.0000
0.0000 5.0556 0.0000
0.0000 0.0000 15.1568
Tb Nd Tm
9 2 1
direct
0.0000 0.0000 0.0000
0.0000 0.0000 0.3318
0.0000 0.0000 0.6682
0.0000 0.5000 0.1640
0.0000 0.5000 0.5000
0.0000 0.5000 0.8360
0.5000 0.0000 0.1640
0.5000 0.0000 0.5000
0.5000 0.0000 0.8360
0.5000 0.5000 0.3323
0.5000 0.5000 0.6677
0.5000 0.5000 0.0000
```

## Properties
As for the energy relative to the lowest polymorph listed for this composition: 0.0000 eV/atom.

***

Record 6
An optimized crystal structure of TbNd5Tm4, computed with GGA-PBE.

POSCAR file:
```
TbNd5Tm4
1.0
3.6117 0.0000 0.0000
0.0000 3.6117 0.0000
0.0000 0.0000 25.0783
Tb Nd Tm
1 5 4
direct
0.0000 0.0000 0.0000
0.5000 0.5000 0.1018
0.5000 0.5000 0.3011
0.5000 0.5000 0.5000
0.5000 0.5000 0.6989
0.5000 0.5000 0.8982
0.0000 0.0000 0.2016
0.0000 0.0000 0.4005
0.0000 0.0000 0.5995
0.0000 0.0000 0.7984
```

## Properties
The total energy is -0.3393 Ry per atom.

***

Record 7
An optimized crystal structure of Tb5Nd2Tm5, computed with GGA-PBE.

POSCAR file:
```
Tb5Nd2Tm5
1.0
7.5352 -2.5078 0.0000
7.5352 2.5078 0.0000
-5.0208 0.0000 10.0391
Tb Nd Tm
5 2 5
direct
0.0000 0.0000 0.0000
0.0850 0.0850 0.7506
0.1660 0.1660 0.4996
0.8340 0.8340 0.5004
0.9150 0.9150 0.2494
0.4171 0.4171 0.7515
0.5829 0.5829 0.2485
0.2511 0.2511 0.2498
0.3316 0.3316 0.9996
0.5000 0.5000 0.5000
0.6684 0.6684 0.0004
0.7489 0.7489 0.7502
```

## Properties
The total energy is -0.3355 Ry per atom.

***

Record 8
An optimized crystal structure of TbNd12Tm2, computed with GGA-PBE.

POSCAR file:
```
TbNd12Tm2
1.0
3.5986 -5.8139 0.0000
3.5986 5.8139 0.0000
0.0000 0.0000 24.9929
Tb Nd Tm
2 24 4
direct
0.2500 0.7500 0.9990
0.7500 0.2500 0.0010
0.0014 0.5014 0.8691
0.0020 0.9980 0.0736
0.0187 0.5187 0.4133
0.0237 0.9763 0.5604
0.2500 0.2500 0.1985
0.2500 0.2500 0.3238
0.2500 0.2500 0.6762
0.2500 0.2500 0.8015
0.4763 0.5237 0.5604
0.4813 0.9813 0.4133
0.4980 0.5020 0.0736
0.4986 0.9986 0.8691
0.5014 0.0014 0.1309
0.5020 0.4980 0.9264
0.5187 0.0187 0.5867
0.5237 0.4763 0.4396
0.7500 0.7500 0.1985
0.7500 0.7500 0.3238
0.7500 0.7500 0.6762
0.7500 0.7500 0.8015
0.9763 0.0237 0.4396
0.9813 0.4813 0.5867
0.9980 0.0020 0.9264
0.9986 0.4986 0.1309
0.2500 0.7500 0.2665
0.2500 0.7500 0.7301
0.7500 0.2500 0.2699
0.7500 0.2500 0.7335
```

## Properties
The total energy is -0.3352 Ry per atom.

***

What spin magnetization values result from the calculations? In sequence: 0.00, 0.00, 0.00, 0.00, 0.00, 0.00, 0.00, 0.00 Bohr magnetons per cell.